This record from Alexandria describes a geometry-optimized Tm5In2Ir2Ru structure. The functional is PBE.

Cell and atoms, written as extended XYZ:
```
20
Lattice="3.485 0.000 0.000 0.000 11.539 0.000 0.000 0.000 11.539" Properties=species:S:1:pos:R:3 pbc="T T T"
Tm 1.743 2.242 0.736
Tm 1.743 9.297 10.803
Tm 1.743 0.736 9.297
Tm 1.743 8.012 5.034
Tm 1.743 10.803 2.242
Tm 1.743 3.527 6.505
Tm 1.743 6.505 8.012
Tm 1.743 5.034 3.527
Tm 1.743 5.769 0.000
Tm 1.743 0.000 5.769
In 0.000 7.841 2.072
In 0.000 3.698 9.467
In 0.000 2.072 3.698
In 0.000 9.467 7.841
Ir 0.000 1.574 7.343
Ir 0.000 9.965 4.196
Ir 0.000 7.343 9.965
Ir 0.000 4.196 1.574
Ru 0.000 0.000 0.000
Ru 0.000 5.769 5.769
```

- space group = P4/mbm (127)
- magnetic moment (μB per formula unit) = 0.0
- calculated formation energy (eV per atom) = -0.572
- total DFT energy (no corrections) (eV per atom) = -6.055